Density functional theory data (GGA-PBEsol) for a geometry-optimized BaTlOs structure.

POSCAR file:
```
BaTlOs
1.0
0.000 3.633 3.633
3.633 0.000 3.633
3.633 3.633 0.000
Ba Tl Os
1 1 1
direct
0.000 0.000 0.000
0.250 0.250 0.250
0.750 0.750 0.750
```

Results
As for the space group: F-43m (216). The calculated density is 9.21 g/cm3. The formation energy is 38.25 kcal/mol of atoms.